# 1
Compound: CdAgSe2
Source: Alexandria
Functional: PBE-GGA
Structure: optimized geometry

Results
formation energy from raw total energies: -0.02 eV per atom

a b c (Å): 5.5830 5.5830 5.5830
angles (deg): 139.22 96.51 97.44
Fractional positions:
Ag 0.7500 0.2500 0.5000
Cd 0.2500 0.7500 0.5000
Se 0.9935 0.9935 0.0000
Se 0.5065 0.5065 0.0000



# 2
Compound: CdAg2Se
Source: Alexandria
Functional: PBE-GGA
Structure: optimized geometry

Results
offset from the most stable computed form: 82 meV/atom
formation energy from raw total energies: 0.04 eV per atom

a b c (Å): 4.8492 4.8492 4.8492
angles (deg): 60.00 60.00 60.00
Fractional positions:
Se 0.0000 0.0000 0.0000
Ag 0.2500 0.2500 0.2500
Ag 0.7500 0.7500 0.7500
Cd 0.5000 0.5000 0.5000



# 3
Compound: CdAg2Se
Source: Alexandria
Functional: PBE-GGA
Structure: optimized geometry

Results
offset from the most stable computed form: 0 meV/atom
formation energy from raw total energies: -0.05 eV per atom

a b c (Å): 3.7336 3.7336 5.7845
angles (deg): 90.00 90.00 90.00
Fractional positions:
Ag 0.0000 0.0000 0.0096
Ag 0.5000 0.5000 0.2380
Cd 0.0000 0.0000 0.5010
Se 0.5000 0.5000 0.7514



# 4
Compound: CdAgSe2
Source: Alexandria
Functional: PBE-GGA
Structure: optimized geometry

Results
formation energy from raw total energies: 0.02 eV per atom

a b c (Å): 3.8234 3.8234 5.8957
angles (deg): 90.00 90.00 90.00
Fractional positions:
Ag 0.5000 0.5000 0.2500
Cd 0.5000 0.5000 0.7500
Se 0.0000 0.0000 0.0018
Se 0.0000 0.0000 0.4982



Q: What is the formation energy from raw total energies in the second record?
A: 0.04 eV per atom